(1)
Material: ScCuSnPt
Method: DFT, PBE
State: optimized geometry

a b c (Å): 6.5294 6.5294 6.5294
angles (deg): 90.00 90.00 90.00
With the nearest neighbours (Å) after each atom.
Space group F-43m (No. 216)
Asymmetric unit:
Sc (0.0000, 0.0000, 0.0000) (multiplicity 4)  4 Cu 2.83, 4 Pt 2.83
Cu (0.2500, 0.2500, 0.2500) (multiplicity 4)  4 Sn 2.83, 4 Sc 2.83
Sn (0.0000, 0.0000, 0.5000) (multiplicity 4)  4 Cu 2.83, 4 Pt 2.83
Pt (0.2500, 0.2500, 0.7500) (multiplicity 4)  4 Sn 2.83, 4 Sc 2.83

For the density of states at the Fermi level, the calculation gives 9.89 states/eV per cell. The uncorrected energy comes out at -5.80 eV per atom. The total magnetization comes out at 0.00 μB/atom.



(2)
Material: Np2Ag4O9
Method: DFT, PBE
State: optimized geometry

a b c (Å): 5.6243 5.8561 16.2483
angles (deg): 83.29 86.06 61.80
With the nearest neighbours (Å) after each atom.
Space group P-1 (No. 2)
Asymmetric unit:
Np (0.0087, 0.4544, 0.3489) (multiplicity 2)  4 O 1.90-2.04
Np (0.0324, 0.5080, 0.1521) (multiplicity 2)  4 O 1.91-2.06
Ag (0.3141, 0.8263, 0.4870) (multiplicity 2)  2 O 2.17-2.18
Ag (0.3263, 0.8863, 0.6810) (multiplicity 2)  5 O 2.33-2.52
Ag (0.3370, 0.8016, 0.9831) (multiplicity 2)  2 O 2.18-2.21
Ag (0.3438, 0.8498, 0.1808) (multiplicity 2)  5 O 2.37-2.57
O (0.0089, 0.2197, 0.2655) (multiplicity 2)  1 Np 2.04
O (0.0134, 0.7200, 0.4044) (multiplicity 2)  1 Np 1.90
O (0.0465, 0.8183, 0.0836) (multiplicity 2)  1 Np 2.05, 1 Ag 2.21
O (0.2426, 0.2621, 0.7561) (multiplicity 2)  2 Np 2.15-2.26, 1 Ag 2.37
O (0.2461, 0.4794, 0.9118) (multiplicity 2)  1 Np 1.91
O (0.2886, 0.4840, 0.2415) (multiplicity 2)  1 Np 2.06
O (0.3060, 0.5395, 0.5843) (multiplicity 2)  1 Np 2.00, 1 Ag 2.18
O (0.3201, 0.1522, 0.4103) (multiplicity 2)  1 Np 2.02, 1 Ag 2.17
O (0.3326, 0.2166, 0.0987) (multiplicity 2)  1 Np 1.98, 1 Ag 2.18

For the density of states at the Fermi level, the calculation gives 14.89 states/eV per cell. The formation energy without anion corrections is -1.415 eV per atom. The uncorrected energy comes out at -6.88 eV per atom. The total magnetization comes out at 0.02 μB/atom.



(3)
Material: NaIrSe2Br
Method: DFT, PBE
State: optimized geometry

a b c (Å): 4.8763 4.8763 5.5522
angles (deg): 90.00 90.00 90.00
With the nearest neighbours (Å) after each atom.
Space group P4/mmm (No. 123)
Asymmetric unit:
Na (0.0000, 0.0000, 0.0000) (multiplicity 1)  4 Br 3.45, 8 Se 3.69
Ir (0.5000, 0.5000, 0.5000) (multiplicity 1)  4 Se 2.44
Se (0.0000, 0.5000, 0.5000) (multiplicity 2)  2 Ir 2.44
Br (0.5000, 0.5000, 0.0000) (multiplicity 1)  2 Ir 2.78

For the offset from the most stable computed form, the calculation gives 0.00 kJ/mol of atoms. For the density of states at the Fermi level, the calculation gives 6.31 states/eV per cell. The formation energy without anion corrections is -0.105 eV per atom. The uncorrected energy comes out at -3.87 eV per atom. The total magnetization comes out at 0.00 μB/atom.



(4)
Material: LiCa2Hg2
Method: DFT, PBE
State: optimized geometry

a b c (Å): 11.5630 4.5501 11.5042
angles (deg): 90.00 117.73 90.00
With the nearest neighbours (Å) after each atom.
Space group C2/m (No. 12)
Asymmetric unit:
Li (0.2113, 0.0000, 0.3633) (multiplicity 4)  4 Hg 2.68-2.84
Ca (0.0034, 0.5000, 0.6699) (multiplicity 4)  6 Hg 3.22-3.41, 4 Li 3.26-3.57
Ca (0.1856, 0.5000, 0.1059) (multiplicity 4)  6 Hg 3.25-3.40
Hg (0.0241, 0.0000, 0.8773) (multiplicity 4)  1 Li 2.84, 1 Hg 3.12
Hg (0.1507, 0.0000, 0.5760) (multiplicity 4)  3 Li 2.68-2.84

For the offset from the most stable computed form, the calculation gives 0.48 kJ/mol of atoms. For the density of states at the Fermi level, the calculation gives 14.20 states/eV per cell. The uncorrected energy comes out at -1.73 eV per atom. The total magnetization comes out at 0.00 μB/atom.



(5)
Material: Nd6Bi5Te
Method: DFT, PBE
State: optimized geometry

a b c (Å): 7.9612 13.7736 7.9495
angles (deg): 90.00 109.48 90.00
With the nearest neighbours (Å) after each atom.
Space group C2/m (No. 12)
Asymmetric unit:
Nd (0.2495, 0.1671, 0.2495) (multiplicity 8)  5 Bi 3.24-3.25, 1 Te 3.25
Nd (0.2496, 0.0000, 0.7516) (multiplicity 4)  5 Bi 3.24-3.25, 1 Te 3.26
Bi (0.0000, 0.0000, 0.0000) (multiplicity 2)  6 Nd 3.24-3.25
Bi (0.0000, 0.1667, 0.5000) (multiplicity 4)  6 Nd 3.25
Bi (0.0000, 0.3334, 0.0000) (multiplicity 4)  6 Nd 3.24-3.25
Te (0.0000, 0.5000, 0.5000) (multiplicity 2)  6 Nd 3.25-3.26

For the density of states at the Fermi level, the calculation gives 6.96 states/eV per cell. The formation energy without anion corrections is -1.049 eV per atom. The uncorrected energy comes out at -5.31 eV per atom. The total magnetization comes out at 0.00 μB/atom.



Repeat the first record exactly.
Material: ScCuSnPt
Method: DFT, PBE
State: optimized geometry

a b c (Å): 6.5294 6.5294 6.5294
angles (deg): 90.00 90.00 90.00
With the nearest neighbours (Å) after each atom.
Space group F-43m (No. 216)
Asymmetric unit:
Sc (0.0000, 0.0000, 0.0000) (multiplicity 4)  4 Cu 2.83, 4 Pt 2.83
Cu (0.2500, 0.2500, 0.2500) (multiplicity 4)  4 Sn 2.83, 4 Sc 2.83
Sn (0.0000, 0.0000, 0.5000) (multiplicity 4)  4 Cu 2.83, 4 Pt 2.83
Pt (0.2500, 0.2500, 0.7500) (multiplicity 4)  4 Sn 2.83, 4 Sc 2.83

For the density of states at the Fermi level, the calculation gives 9.89 states/eV per cell. The uncorrected energy comes out at -5.80 eV per atom. The total magnetization comes out at 0.00 μB/atom.



Number 2 is which compound?
Np2Ag4O9



Which value of uncorrected energy does entry 1 give?
-5.80 eV per atom



What did the fourth record say?
Material: LiCa2Hg2
Method: DFT, PBE
State: optimized geometry

a b c (Å): 11.5630 4.5501 11.5042
angles (deg): 90.00 117.73 90.00
With the nearest neighbours (Å) after each atom.
Space group C2/m (No. 12)
Asymmetric unit:
Li (0.2113, 0.0000, 0.3633) (multiplicity 4)  4 Hg 2.68-2.84
Ca (0.0034, 0.5000, 0.6699) (multiplicity 4)  6 Hg 3.22-3.41, 4 Li 3.26-3.57
Ca (0.1856, 0.5000, 0.1059) (multiplicity 4)  6 Hg 3.25-3.40
Hg (0.0241, 0.0000, 0.8773) (multiplicity 4)  1 Li 2.84, 1 Hg 3.12
Hg (0.1507, 0.0000, 0.5760) (multiplicity 4)  3 Li 2.68-2.84

For the offset from the most stable computed form, the calculation gives 0.48 kJ/mol of atoms. For the density of states at the Fermi level, the calculation gives 14.20 states/eV per cell. The uncorrected energy comes out at -1.73 eV per atom. The total magnetization comes out at 0.00 μB/atom.